Record 1
Entry from Alexandria: a PBEsol-optimized structure of BaLiB3S6 (meta-GGA SCAN).

Computed properties:
Total magnetic moment in μB/cell: 0.00
Space group: Cc (9)

```
BaLiB3S6
1.0
8.213 0.014 -0.009
3.490 7.987 0.003
-3.490 -3.144 7.342
Ba Li B S
2 2 6 12
direct
0.974 0.138 0.619
0.474 0.381 0.862
0.929 0.500 0.296
0.429 0.704 0.500
0.549 0.840 0.244
0.049 0.756 0.160
0.448 0.020 0.982
0.948 0.018 0.980
0.523 0.247 0.387
0.023 0.613 0.753
0.082 0.417 0.560
0.437 0.248 0.161
0.007 0.989 0.190
0.064 0.558 0.945
0.586 0.643 0.279
0.582 0.440 0.583
0.564 0.055 0.442
0.507 0.810 0.011
0.405 0.006 0.758
0.905 0.242 0.994
0.086 0.721 0.357
0.937 0.839 0.752
```

---

Record 2
Entry from Alexandria: a PBEsol-optimized structure of Sb2NCl (meta-GGA SCAN).

Computed properties:
Total magnetic moment in μB/cell: 0.00
Space group: I-42d (122)

```
Sb2NCl
1.0
-0.913 -4.555 2.784
4.231 1.105 3.195
-5.721 5.112 1.219
Sb N Cl
4 2 2
direct
0.504 0.875 0.250
0.746 0.375 0.250
0.125 0.254 0.750
0.625 0.496 0.750
0.750 0.250 0.500
0.500 0.500 0.000
0.250 0.750 0.500
0.000 0.000 0.000
```

---

Record 3
Entry from Alexandria: a PBEsol-optimized structure of In2HgCl (meta-GGA SCAN).

Computed properties:
Total magnetic moment in μB/cell: 0.00
Space group: R-3m (166)

```
In2HgCl
1.0
3.559 0.000 0.000
1.780 3.082 0.000
1.780 1.027 9.151
In Hg Cl
2 1 1
direct
0.247 0.247 0.260
0.753 0.753 0.740
0.000 0.000 0.000
0.500 0.500 0.500
```

---

Record 4
Entry from Alexandria: a PBEsol-optimized structure of CuIr2Os (meta-GGA SCAN).

Computed properties:
Total magnetic moment in μB/cell: 0.00
E_form in meV per atom: 43
Space group: R-3m (166)

```
CuIr2Os
1.0
-1.395 -2.297 0.172
1.025 -2.277 -1.009
3.590 -3.213 7.301
Ir Os Cu
2 1 1
direct
0.251 0.251 0.247
0.749 0.749 0.753
0.500 0.500 0.500
0.000 0.000 0.000
```

---

Record 5
Entry from Alexandria: a PBEsol-optimized structure of MgSb2Ru (meta-GGA SCAN).

Computed properties:
Total magnetic moment in μB/cell: 0.00
Space group: Cmmm (65)

```
MgSb2Ru
1.0
3.395 0.000 0.000
0.000 4.827 0.022
0.000 -1.073 4.707
Mg Ru Sb
1 1 2
direct
0.500 0.000 0.000
0.500 0.500 0.500
0.000 0.500 0.000
0.000 0.000 0.500
```

---

Record 6
Entry from Alexandria: a PBEsol-optimized structure of Be2ZnTcGe (meta-GGA SCAN).

Computed properties:
Total magnetic moment in μB/cell: 2.90
E_form in meV per atom: 1100
Space group: P4/mmm (123)

```
Be2ZnTcGe
1.0
3.945 0.000 0.000
0.000 3.945 0.000
0.000 0.000 4.622
Zn Ge Tc Be
1 1 1 2
direct
0.000 0.000 0.000
0.000 0.000 0.500
0.500 0.500 0.500
0.000 0.500 0.000
0.500 0.000 0.000
```

---

Record 7
Entry from Alexandria: a PBEsol-optimized structure of Ti3PPt (meta-GGA SCAN).

Computed properties:
Total magnetic moment in μB/cell: 1.29
E_form in meV per atom: 209
Space group: Pm-3m (221)

```
Ti3PPt
1.0
-1.559 2.624 3.577
-4.389 -1.465 -0.838
0.647 -3.616 2.934
P Pt Ti
1 1 3
direct
0.500 0.500 0.500
0.000 0.000 0.000
0.000 0.500 0.000
0.000 0.000 0.500
0.500 0.000 0.000
```

---

Record 8
Entry from Alexandria: a PBEsol-optimized structure of ZrHSe2Br (meta-GGA SCAN).

Computed properties:
Total magnetic moment in μB/cell: 1.04
Space group: P4/mmm (123)

```
ZrHSe2Br
1.0
-1.133 -1.740 3.509
2.959 -2.773 -0.419
3.172 3.005 2.514
H Se Br Zr
1 2 1 1
direct
0.000 0.000 0.000
0.000 0.500 0.000
0.500 0.000 0.000
0.000 0.000 0.500
0.500 0.500 0.500
```

---

Record 9
Entry from Alexandria: a PBEsol-optimized structure of Ba2ReSi (meta-GGA SCAN).

Computed properties:
Total magnetic moment in μB/cell: 0.00
Space group: Pmmm (47)

```
Ba2ReSi
1.0
-0.452 3.010 -0.209
-4.745 -0.729 -0.240
-0.425 0.428 7.089
Ba Re Si
2 1 1
direct
0.000 0.000 0.750
0.000 0.000 0.250
0.500 0.500 0.000
0.500 0.500 0.500
```

---

Record 10
Entry from Alexandria: a PBEsol-optimized structure of LiInAs2 (meta-GGA SCAN).

Computed properties:
Total magnetic moment in μB/cell: 0.00
E_form in meV per atom: -175
Space group: Cm (8)

```
LiInAs2
1.0
-1.257 2.923 1.594
-2.621 0.730 -3.405
-2.052 -4.627 2.895
As In Li
2 1 1
direct
0.054 0.010 0.109
0.729 0.274 0.458
0.466 0.434 0.931
0.251 0.782 0.502
```

---

Record 11
Entry from Alexandria: a PBEsol-optimized structure of YSc2Zn (meta-GGA SCAN).

Computed properties:
Total magnetic moment in μB/cell: 0.00
E_form in meV per atom: -215
Space group: Immm (71)

```
YSc2Zn
1.0
3.438 0.000 0.000
0.000 4.980 0.000
-1.719 -2.490 5.290
Y Sc Zn
1 2 1
direct
0.500 0.000 0.000
0.715 0.715 0.431
0.285 0.285 0.569
0.000 0.500 0.000
```

---

Record 12
Entry from Alexandria: a PBEsol-optimized structure of CdAgAu2 (meta-GGA SCAN).

Computed properties:
Total magnetic moment in μB/cell: 0.00
E_form in meV per atom: -148
Space group: P1 (1)

```
CdAgAu2
1.0
-1.144 -2.673 0.610
-0.993 -0.655 -4.833
4.985 -0.509 -0.023
Au Ag Cd
2 1 1
direct
0.000 0.995 0.001
0.749 0.252 0.498
0.252 0.756 0.503
0.499 0.497 0.998
```

---

Record 13
Entry from Alexandria: a PBEsol-optimized structure of LaCuNi2 (meta-GGA SCAN).

Computed properties:
Total magnetic moment in μB/cell: 0.00
E_form in meV per atom: 136
Space group: Fm-3m (225)

```
LaCuNi2
1.0
-2.450 0.552 3.694
-2.310 -3.434 1.682
1.286 -1.892 3.837
Cu La Ni
1 1 2
direct
0.000 0.000 0.000
0.500 0.500 0.500
0.250 0.250 0.250
0.750 0.750 0.750
```

---

Record 14
Entry from Alexandria: a PBEsol-optimized structure of Ba5Na2Ru3O14 (meta-GGA SCAN).

Computed properties:
Total magnetic moment in μB/cell: 16.15
Space group: P2_1 (4)

```
Ba5Na2Ru3O14
1.0
5.787 0.000 0.000
-2.868 5.122 0.000
0.000 0.000 24.285
Ba Na Ru O
10 4 6 28
direct
0.323 0.641 0.559
0.674 0.378 0.443
0.677 0.359 0.059
0.326 0.622 0.943
0.000 0.969 0.664
0.013 0.034 0.336
0.000 0.031 0.164
0.987 0.966 0.836
0.661 0.304 0.750
0.339 0.696 0.250
0.662 0.311 0.596
0.326 0.694 0.402
0.338 0.689 0.096
0.674 0.306 0.902
0.335 0.640 0.694
0.677 0.365 0.307
0.665 0.360 0.194
0.323 0.635 0.807
0.004 0.015 0.502
0.996 0.985 0.002
0.241 0.131 0.557
0.073 0.879 0.442
0.759 0.869 0.057
0.927 0.121 0.942
0.822 0.673 0.536
0.179 0.357 0.466
0.178 0.327 0.036
0.821 0.643 0.966
0.024 0.482 0.651
0.528 0.529 0.349
0.976 0.518 0.151
0.472 0.471 0.849
0.632 0.789 0.752
0.823 0.209 0.249
0.368 0.211 0.252
0.177 0.791 0.749
0.501 0.487 0.655
0.997 0.519 0.345
0.499 0.513 0.155
0.003 0.481 0.845
0.498 0.953 0.653
0.533 0.057 0.350
0.502 0.047 0.153
0.467 0.943 0.850
0.179 0.338 0.750
0.821 0.662 0.250
0.709 0.046 0.510
0.291 0.954 0.010
```

---

Record 15
Entry from Alexandria: a PBEsol-optimized structure of TaCuSn2H (meta-GGA SCAN).

Computed properties:
Total magnetic moment in μB/cell: 0.00
Space group: P4/mmm (123)

```
TaCuSn2H
1.0
-1.412 2.659 -2.000
-3.843 -0.049 2.648
1.921 3.161 2.847
H Sn Cu Ta
1 2 1 1
direct
0.000 0.000 0.000
0.000 0.000 0.500
0.000 0.500 0.000
0.500 0.500 0.500
0.500 0.000 0.000
```

---

Record 16
Entry from Alexandria: a PBEsol-optimized structure of CaLa2Te2 (meta-GGA SCAN).

Computed properties:
Total magnetic moment in μB/cell: 0.00
Space group: P4/mbm (127)

```
CaLa2Te2
1.0
-0.191 -1.009 -4.066
8.060 -2.926 0.349
-2.921 -7.799 2.073
Ca Te La
2 4 4
direct
0.000 0.000 0.000
0.000 0.500 0.500
0.000 0.351 0.851
0.000 0.851 0.649
0.000 0.649 0.149
0.000 0.149 0.351
0.500 0.151 0.651
0.500 0.651 0.849
0.500 0.849 0.349
0.500 0.349 0.151
```

---

Record 17
Entry from Alexandria: a PBEsol-optimized structure of Nb4VSe8 (meta-GGA SCAN).

Computed properties:
Total magnetic moment in μB/cell: 3.80
Space group: P6_3/mmc (194)

```
Nb4VSe8
1.0
6.878 0.000 0.000
-3.439 5.956 0.000
0.000 0.000 12.569
Nb V Se
8 2 16
direct
0.000 0.000 0.250
0.000 0.000 0.750
0.986 0.493 0.250
0.014 0.507 0.750
0.507 0.014 0.250
0.493 0.986 0.750
0.507 0.493 0.250
0.493 0.507 0.750
0.000 0.000 0.500
0.000 0.000 0.000
0.333 0.667 0.887
0.667 0.333 0.113
0.667 0.333 0.387
0.333 0.667 0.613
0.664 0.832 0.382
0.336 0.168 0.618
0.168 0.336 0.382
0.336 0.168 0.882
0.832 0.664 0.618
0.664 0.832 0.118
0.168 0.832 0.382
0.832 0.664 0.882
0.832 0.168 0.618
0.168 0.336 0.118
0.832 0.168 0.882
0.168 0.832 0.118
```

---

Record 18
Entry from Alexandria: a PBEsol-optimized structure of ReSi2Rh (meta-GGA SCAN).

Computed properties:
Total magnetic moment in μB/cell: 0.00
Space group: Imm2 (44)

```
ReSi2Rh
1.0
2.948 0.000 0.000
0.000 3.981 0.000
-1.474 -1.991 4.496
Re Rh Si
1 1 2
direct
0.496 0.496 0.992
0.265 0.765 0.530
0.988 0.988 0.975
0.751 0.251 0.503
```

---

Record 19
Entry from Alexandria: a PBEsol-optimized structure of BaBeOs2 (meta-GGA SCAN).

Computed properties:
Total magnetic moment in μB/cell: 0.00
E_form in meV per atom: 487
Space group: Pm (6)

```
BaBeOs2
1.0
2.949 0.000 -0.014
0.000 4.067 0.000
-1.172 0.000 6.442
Be Os Ba
1 2 1
direct
0.124 0.500 0.844
0.155 0.000 0.011
0.737 0.500 0.122
0.484 0.000 0.523
```

---

Record 20
Entry from Alexandria: a PBEsol-optimized structure of CdFeW (meta-GGA SCAN).

Computed properties:
Total magnetic moment in μB/cell: 2.06
E_form in meV per atom: 1583
Space group: F-43m (216)

```
CdFeW
1.0
4.247 0.000 0.000
2.124 3.678 0.000
2.124 1.226 3.468
Cd Fe W
1 1 1
direct
0.250 0.250 0.250
0.000 0.000 0.000
0.500 0.500 0.500
```

---

| no. | raw total energy (eV/f.u.) | V (Å³/atom) |
| --- | --- | --- |
| 1 | -133.9 | 21.87 |
| 2 | -90.0 | 24.78 |
| 3 | -144.3 | 25.10 |
| 4 | -229.1 | 13.52 |
| 5 | -113.7 | 19.30 |
| 6 | -70.9 | 14.39 |
| 7 | -127.6 | 20.79 |
| 8 | -93.2 | 16.76 |
| 9 | -156.1 | 26.08 |
| 10 | -76.9 | 20.36 |
| 11 | -70.7 | 22.65 |
| 12 | -200.7 | 17.39 |
| 13 | -90.1 | 15.76 |
| 14 | -449.5 | 15.00 |
| 15 | -154.6 | 15.75 |
| 16 | -177.0 | 30.89 |
| 17 | -323.9 | 19.80 |
| 18 | -126.0 | 13.19 |
| 19 | -185.7 | 19.30 |
| 20 | -113.5 | 18.06 |